CaPrPt10 (PBE, relaxed); DFT total energy = -74.8 eV/cell; magnetization = 0.0 μB/cell
1.0
4.4261 0.0000 0.0000
0.0000 5.4339 0.0000
0.0000 0.0000 9.3534
Ca Pr Pt
1 1 10
direct
0.0000 0.0000 0.0000
0.0000 0.5000 0.5000
0.0000 0.0000 0.3312
0.0000 0.0000 0.6688
0.0000 0.5000 0.1647
0.0000 0.5000 0.8353
0.5000 0.0000 0.5000
0.5000 0.2512 0.2510
0.5000 0.2512 0.7490
0.5000 0.5000 0.0000
0.5000 0.7488 0.2510
0.5000 0.7488 0.7490

RbSbHAu2 (PBE, relaxed); DFT total energy = -15.4 eV/cell; magnetization = 0.0 μB/cell
1.0
5.4878 0.0000 0.0000
0.0000 5.4878 0.0000
0.0000 0.0000 4.2830
Rb Sb H Au
1 1 1 2
direct
0.0000 0.0000 0.0000
0.5000 0.5000 0.5000
0.5000 0.5000 0.0000
0.0000 0.5000 0.5000
0.5000 0.0000 0.5000

Tb2Er5Tm5 (PBE, relaxed); DFT total energy = -54.2 eV/cell; magnetization = 0.0 μB/cell
1.0
7.4213 -2.4740 0.0000
7.4213 2.4740 0.0000
-4.9425 0.0000 9.9009
Tb Er Tm
2 5 5
direct
0.0830 0.0830 0.2498
0.9170 0.9170 0.7502
0.0000 0.0000 0.5000
0.1666 0.1666 0.9997
0.2492 0.2492 0.7493
0.7508 0.7508 0.2507
0.8334 0.8334 0.0003
0.3332 0.3332 0.4997
0.4163 0.4163 0.2500
0.5000 0.5000 0.0000
0.5837 0.5837 0.7500
0.6668 0.6668 0.5003

YScMo2 (PBE, relaxed); magnetization = 0.0 μB/cell; energy relative to the lowest polymorph listed for this composition = 303.7 meV per atom
1.0
2.9375 0.0000 0.0000
0.0000 4.7123 0.0000
-1.2276 0.0000 5.9884
Y Sc Mo
1 1 2
direct
0.0000 0.0000 0.0000
0.5000 0.0000 0.5000
0.2063 0.5000 0.6970
0.7937 0.5000 0.3030

Gd2HfIn (PBE, relaxed); magnetization = 47.2 μB/cell; energy relative to the lowest polymorph listed for this composition = 372.4 meV per atom
1.0
3.2970 0.0000 0.0000
-1.6485 2.8552 0.0000
0.0000 0.0000 35.3091
Gd Hf In
6 3 3
direct
0.0000 0.0000 0.0889
0.0000 0.0000 0.9111
0.3333 0.6667 0.5777
0.3333 0.6667 0.7556
0.6667 0.3333 0.2444
0.6667 0.3333 0.4223
0.0000 0.0000 0.0000
0.3333 0.6667 0.6667
0.6667 0.3333 0.3333
0.0000 0.0000 0.5000
0.3333 0.6667 0.1667
0.6667 0.3333 0.8333

ErTeCl (PBE, relaxed); magnetization = 0.0 μB/cell; uncorrected formation energy = -1.684 eV/atom
1.0
7.0572 0.0000 0.0000
0.0000 4.2045 0.0000
-0.8232 0.0000 7.2075
Er Te Cl
2 2 2
direct
0.0000 0.0000 0.0000
0.5000 0.5000 0.0000
0.1981 0.5000 0.2519
0.8019 0.5000 0.7481
0.3192 0.0000 0.8095
0.6808 0.0000 0.1905

> Among the records above, which one has the highest magnetization?

Gd2HfIn